1.
# GGA-PBE K2H6N3, relaxed
# space group	C2/c (15)
data_K2H6N3
_chemical_formula_sum 'K4 H12 N6'
_cell_length_a 7.695
_cell_length_b 7.695
_cell_length_c 5.824
_cell_angle_alpha 108.68
_cell_angle_beta 108.68
_cell_angle_gamma 68.23
_symmetry_space_group_name_H-M 'P 1'
_symmetry_Int_Tables_number 1
loop_
_symmetry_equiv_pos_as_xyz
'x,y,z'
loop_
_atom_site_label
_atom_site_type_symbol
_atom_site_fract_x
_atom_site_fract_y
_atom_site_fract_z
_atom_site_occupancy
K1 K 0.072 0.734 0.937 1
K2 K 0.266 0.928 0.563 1
K3 K 0.734 0.072 0.437 1
K4 K 0.928 0.266 0.063 1
H1 H 0.099 0.348 0.615 1
H2 H 0.124 0.589 0.369 1
H3 H 0.348 0.099 0.115 1
H4 H 0.411 0.876 0.131 1
H5 H 0.413 0.454 0.662 1
H6 H 0.454 0.413 0.162 1
H7 H 0.546 0.587 0.838 1
H8 H 0.587 0.546 0.338 1
H9 H 0.589 0.124 0.869 1
H10 H 0.652 0.901 0.885 1
H11 H 0.876 0.411 0.631 1
H12 H 0.901 0.652 0.385 1
N1 N 0.006 0.708 0.392 1
N2 N 0.292 0.994 0.108 1
N3 N 0.445 0.555 0.250 1
N4 N 0.555 0.445 0.750 1
N5 N 0.708 0.006 0.892 1
N6 N 0.994 0.292 0.608 1


2.
# GGA-PBE KH4N, relaxed
# space group	P2/c (13)
data_KH4N
_chemical_formula_sum 'K2 H8 N2'
_cell_length_a 5.074
_cell_length_b 7.598
_cell_length_c 7.362
_cell_angle_alpha 90.00
_cell_angle_beta 90.06
_cell_angle_gamma 90.00
_symmetry_space_group_name_H-M 'P 1'
_symmetry_Int_Tables_number 1
loop_
_symmetry_equiv_pos_as_xyz
'x,y,z'
loop_
_atom_site_label
_atom_site_type_symbol
_atom_site_fract_x
_atom_site_fract_y
_atom_site_fract_z
_atom_site_occupancy
K1 K 0.000 0.240 0.250 1
K2 K 0.000 0.760 0.750 1
H1 H 0.331 0.195 0.753 1
H2 H 0.331 0.805 0.253 1
H3 H 0.496 0.355 0.634 1
H4 H 0.496 0.645 0.134 1
H5 H 0.504 0.355 0.866 1
H6 H 0.504 0.645 0.366 1
H7 H 0.669 0.195 0.747 1
H8 H 0.669 0.805 0.247 1
N1 N 0.500 0.275 0.750 1
N2 N 0.500 0.725 0.250 1


Number 1: calculated density 1420 kg/m³, DFT total energy -4.49 eV per atom. Number 2: calculated density 669 kg/m³, DFT total energy -3.81 eV per atom.